DFT (GGA+U) results for a relaxed structure of Y2PuMnO8.

a = 4.9864 Å, b = 4.9873 Å, c = 6.9432 Å
α = 93.83°, β = 86.26°, γ = 94.43°
Closest atoms and distances in Å follow each position.
Fractional coordinates of all 12 atoms:
O 0.2863 0.2850 0.4999  1 Mn 1.94
O 0.2024 0.7929 0.8108  1 Pu 1.90
O 0.7976 0.2071 0.1892  1 Pu 1.90
O 0.7137 0.7150 0.5001  1 Mn 1.94
O 0.2950 0.2905 0.9996  1 Pu 1.98
O 0.8424 0.1594 0.7449  1 Mn 1.97, 1 Pu 2.20
O 0.1576 0.8406 0.2551  1 Mn 1.97, 1 Pu 2.20
O 0.7050 0.7095 0.0004  1 Pu 1.98
Y 0.5351 0.4656 0.7337  6 O 2.21-2.43
Y 0.4649 0.5344 0.2663  6 O 2.21-2.43
Pu 0.0000 0.0000 0.0000  4 O 1.90-1.98
Mn 0.0000 0.0000 0.5000  4 O 1.94-1.97

raw total energy	-0.3248	hartree per atom
theoretical density	5.86	Mg/m³
crystal system	triclinic